A relaxed Ta2SiTcN crystal. Source: the Alexandria database, functional PBE-GGA.

Calculated values
As for the theoretical density: 11736 kg/m3. As for the symmetry: P4/mmm (123). The formation energy from raw total energies comes out at -0.31 eV per atom.

Cell: 4.160 4.104 4.160 Å, 90.00 90.00 90.00°
Positions (direct):
Si  0.500  0.500  0.500
N  0.000  0.000  0.000
Tc  0.000  0.500  0.000
Ta  0.000  0.000  0.500
Ta  0.500  0.000  0.000

A relaxed SbIr2Au crystal. Source: the Alexandria database, functional PBE-GGA.

Calculated values
As for the theoretical density: 11469 kg/m3. As for the symmetry: I-42d (122). The formation energy from raw total energies comes out at 0.90 eV per atom.

Cell: 5.805 5.805 7.305 Å, 66.59 66.59 90.00°
Positions (direct):
Sb  0.500  0.500  0.000
Sb  0.250  0.750  0.500
Ir  0.620  0.125  0.250
Ir  0.130  0.625  0.250
Ir  0.375  0.380  0.750
Ir  0.875  0.870  0.750
Au  0.000  0.000  0.000
Au  0.750  0.250  0.500

A relaxed Ca2HF crystal. Source: the Alexandria database, functional PBE-GGA.

Calculated values
As for the theoretical density: 1767 kg/m3. As for the symmetry: R-3m (166). The calculation puts the uncorrected energy at -3.62 eV/atom.

Cell: 3.922 3.922 7.420 Å, 74.68 74.68 60.00°
Positions (direct):
H  0.500  0.500  0.500
Ca  0.101  0.101  0.697
Ca  0.899  0.899  0.303
F  0.000  0.000  0.000

The highest theoretical density belongs to which entry? Ta2SiTcN